No. 1
BaSrNi2P2, relaxed, DFT PBE-GGA; symmetry = P-3m1; total moment = 0.00 μB/cell
1.0
3.966 0.000 0.000
-1.983 3.435 0.000
0.000 0.000 9.359
Ba Sr Ni P
1 1 2 2
Direct
0.000 0.000 0.000
0.000 0.000 0.500
0.333 0.667 0.740
0.667 0.333 0.260
0.333 0.667 0.262
0.667 0.333 0.738

=====

No. 2
BaSrNiP2, relaxed, DFT PBE-GGA; symmetry = P4/mmm; total moment = 0.97 μB/cell
1.0
5.545 0.000 0.000
0.000 5.545 0.000
0.000 0.000 5.131
Ba Sr Ni P
1 1 1 2
Direct
0.000 0.000 0.000
0.500 0.500 0.500
0.500 0.500 0.000
0.000 0.500 0.500
0.500 0.000 0.500

=====

No. 3
Ba2TcNiP, relaxed, DFT PBE-GGA; symmetry = P4/mmm; total moment = 0.51 μB/cell
1.0
5.929 0.000 0.000
0.000 5.929 0.000
0.000 0.000 4.497
Ba Tc Ni P
2 1 1 1
Direct
0.000 0.500 0.000
0.500 0.000 0.000
0.000 0.000 0.000
0.500 0.500 0.500
0.000 0.000 0.500

=====

No. 4
BaTcNiP2, relaxed, DFT PBE-GGA; symmetry = I-4m2; total moment = 0.00 μB/cell
1.0
-1.953 1.953 6.431
1.953 -1.953 6.431
1.953 1.953 -6.431
Ba Tc Ni P
1 1 1 2
Direct
0.000 0.000 0.000
0.750 0.250 0.500
0.250 0.750 0.500
0.347 0.347 0.000
0.653 0.653 0.000

=====

No. 5
Ba2NiTeP, relaxed, DFT PBE-GGA; symmetry = P4/mmm; E_form (uncorrected) = -4.88 eV per formula unit; total moment = 0.00 μB/cell
1.0
6.150 0.000 0.000
0.000 6.150 0.000
0.000 0.000 4.193
Ba Ni Te P
2 1 1 1
Direct
0.000 0.500 0.000
0.500 0.000 0.000
0.000 0.000 0.000
0.500 0.500 0.500
0.000 0.000 0.500

=====

No. 6
Ba2TlNiP, relaxed, DFT PBE-GGA; symmetry = P4/mmm; total moment = 0.00 μB/cell
1.0
6.332 0.000 0.000
0.000 6.332 0.000
0.000 0.000 4.184
Ba Tl Ni P
2 1 1 1
Direct
0.000 0.500 0.000
0.500 0.000 0.000
0.000 0.000 0.500
0.500 0.500 0.500
0.500 0.500 0.000

=====

no.,E_tot (eV per atom)
1,-5.1296
2,-3.5871
3,-4.7558
4,-6.6176
5,-4.6114
6,-3.9264